[1]
## NbGeSb (PBE)

Data for a geometry-optimized NbGeSb structure.

The calculation puts the density of states at the Fermi level at 0.283 states/eV/atom. The energy relative to the elements, uncorrected is -0.18 eV/atom.

Unit cell a=9.737 b=3.648 c=7.437 alpha=90.00 beta=112.36 gamma=90.00
Space group Cm (No. 8)
One atom of each set of equivalent atoms:
Nb1 0.000 0.000 0.000 x2
Nb2 0.146 0.500 0.666 x2
Ge1 0.275 0.000 0.985 x2
Ge2 0.481 0.500 0.371 x2
Sb1 0.178 0.500 0.287 x2
Sb2 0.369 0.000 0.673 x2

[2]
## CeDy2Pd9 (PBE)

Data for a geometry-optimized CeDy2Pd9 structure.

The calculation puts the density of states at the Fermi level at 0.603 states/eV/atom. The formation enthalpy at 0 K comes out at -0.88 eV per atom.

Unit cell a=4.132 b=4.132 c=12.383 alpha=90.00 beta=90.00 gamma=90.00
Space group P4/mmm (No. 123)
One atom of each set of equivalent atoms:
Ce1 0.000 0.000 0.000 x1
Dy1 0.000 0.000 0.336 x2
Pd1 0.000 0.500 0.165 x4
Pd2 0.000 0.500 0.500 x2
Pd3 0.500 0.500 0.000 x1
Pd4 0.500 0.500 0.332 x2

[3]
## Ac4HfGe5 (PBE)

Data for a geometry-optimized Ac4HfGe5 structure.

The calculation puts the density of states at the Fermi level at 1.026 states/eV/atom. The formation enthalpy at 0 K comes out at -0.49 eV per atom.

Unit cell a=9.917 b=9.917 c=6.231 alpha=90.00 beta=90.00 gamma=90.00
Space group I4 (No. 79)
One atom of each set of equivalent atoms:
Ac1 0.088 0.698 0.000 x8
Hf1 0.000 0.000 0.500 x2
Ge1 0.000 0.000 0.999 x2
Ge2 0.093 0.737 0.500 x8

[4]
## LiGe (PBE)

Data for a geometry-optimized LiGe structure.

The calculation puts the density of states at the Fermi level at 0.598 states/eV/atom. The formation enthalpy at 0 K comes out at 0.21 eV per atom.

Unit cell a=5.236 b=5.236 c=5.236 alpha=90.00 beta=90.00 gamma=90.00
Space group Fm-3m (No. 225)
One atom of each set of equivalent atoms:
Li1 0.000 0.000 0.000 x4
Ge1 0.000 0.000 0.500 x4

[5]
## Ac5Mg4Ga4 (PBE)

Data for a geometry-optimized Ac5Mg4Ga4 structure.

The calculation puts the density of states at the Fermi level at 0.870 states/eV/atom. The formation enthalpy at 0 K comes out at -0.35 eV per atom.

Unit cell a=12.657 b=12.657 c=4.726 alpha=90.00 beta=90.00 gamma=90.00
Space group I4/m (No. 87)
One atom of each set of equivalent atoms:
Ac1 0.000 0.000 0.000 x2
Ac2 0.133 0.208 0.500 x8
Mg1 0.076 0.602 0.500 x8
Ga1 0.053 0.739 0.000 x8

[6]
## Tc2IrRu (PBE)

Data for a geometry-optimized Tc2IrRu structure.

The calculation puts the density of states at the Fermi level at 1.321 states/eV/atom. The formation enthalpy at 0 K comes out at -0.04 eV per atom.

Unit cell a=4.710 b=2.722 c=4.753 alpha=90.00 beta=109.38 gamma=90.00
Space group P2/m (No. 10)
One atom of each set of equivalent atoms:
Tc1 0.000 0.000 0.000 x1
Tc2 0.500 0.500 0.000 x1
Ir1 0.000 0.500 0.500 x1
Ru1 0.500 0.000 0.500 x1

[7]
## TmCuNiHg (PBE)

Data for a geometry-optimized TmCuNiHg structure.

The calculation puts the density of states at the Fermi level at 0.584 states/eV/atom. The formation enthalpy at 0 K comes out at -0.22 eV per atom.

Unit cell a=6.510 b=6.510 c=6.510 alpha=90.00 beta=90.00 gamma=90.00
Space group F-43m (No. 216)
One atom of each set of equivalent atoms:
Tm1 0.000 0.000 0.000 x4
Cu1 0.250 0.250 0.250 x4
Ni1 0.250 0.250 0.750 x4
Hg1 0.000 0.000 0.500 x4

[8]
## TbNdAu (PBE)

Data for a geometry-optimized TbNdAu structure.

The calculation puts the density of states at the Fermi level at 1.239 states/eV/atom. The formation enthalpy at 0 K comes out at -0.51 eV per atom.

Unit cell a=3.665 b=3.665 c=12.565 alpha=90.00 beta=90.00 gamma=90.00
Space group I4mm (No. 107)
One atom of each set of equivalent atoms:
Tb1 0.000 0.000 0.000 x2
Nd1 0.000 0.000 0.711 x2
Au1 0.000 0.000 0.370 x2

[9]
## Er6TlHg8 (PBE)

Data for a geometry-optimized Er6TlHg8 structure.

The calculation puts the density of states at the Fermi level at 0.818 states/eV/atom. The formation enthalpy at 0 K comes out at -0.30 eV per atom.

Unit cell a=8.7284 b=8.7284 c=18.5761 alpha=90.00 beta=90.00 gamma=120.00
Space group R-3 (No. 148, hexagonal axes)
One atom of each set of equivalent atoms:
Er1 0.0086 0.7195 0.1031 x18
Tl1 0.0000 0.0000 0.5000 x3
Hg1 0.0000 0.0000 0.1990 x6
Hg2 0.0043 0.6300 0.9442 x18

[10]
## HfV3Pd (PBE)

Data for a geometry-optimized HfV3Pd structure.

The calculation puts the density of states at the Fermi level at 1.400 states/eV/atom. The formation enthalpy at 0 K comes out at 1.11 eV per atom.

Unit cell a=4.610 b=4.610 c=4.610 alpha=90.00 beta=90.00 gamma=90.00
Space group Pm-3m (No. 221)
One atom of each set of equivalent atoms:
Hf1 0.000 0.000 0.000 x1
V1 0.000 0.500 0.500 x3
Pd1 0.500 0.500 0.500 x1

[11]
## SrAlTe4 (PBE)

Data for a geometry-optimized SrAlTe4 structure.

The calculation puts the density of states at the Fermi level at 0.633 states/eV/atom. The energy relative to the elements, uncorrected is -0.04 eV/atom.

Unit cell a=9.180 b=9.180 c=9.180 alpha=90.00 beta=90.00 gamma=90.00
Space group F-43m (No. 216)
One atom of each set of equivalent atoms:
Sr1 0.000 0.000 0.000 x4
Al1 0.250 0.250 0.250 x4
Te1 0.125 0.125 0.625 x16

[12]
## Pm2TmTlC (PBE)

Data for a geometry-optimized Pm2TmTlC structure.

The calculation puts the density of states at the Fermi level at 0.390 states/eV/atom. The formation enthalpy at 0 K comes out at -0.37 eV per atom.

Unit cell a=5.103 b=5.103 c=4.845 alpha=90.00 beta=90.00 gamma=90.00
Space group P4/mmm (No. 123)
One atom of each set of equivalent atoms:
Pm1 0.000 0.500 0.000 x2
Tm1 0.000 0.000 0.500 x1
Tl1 0.500 0.500 0.500 x1
C1 0.000 0.000 0.000 x1

[13]
## Pm2AsN (PBE)

Data for a geometry-optimized Pm2AsN structure.

The calculation puts the density of states at the Fermi level at 0.577 states/eV/atom. The energy relative to the elements, uncorrected is -0.71 eV/atom.

Unit cell a=3.5364 b=3.5364 c=26.0383 alpha=90.00 beta=90.00 gamma=120.00
Space group R-3m (No. 166, hexagonal axes)
One atom of each set of equivalent atoms:
Pm1 0.0000 0.0000 0.1125 x6
As1 0.0000 0.0000 0.0000 x3
N1 0.0000 0.0000 0.5000 x3

[14]
## LiP2Au (PBE)

Data for a geometry-optimized LiP2Au structure.

The calculation puts the density of states at the Fermi level at 0.173 states/eV/atom. The formation enthalpy at 0 K comes out at -0.24 eV per atom.

Unit cell a=4.371 b=3.801 c=4.683 alpha=90.00 beta=94.94 gamma=90.00
Space group P2/m (No. 10)
One atom of each set of equivalent atoms:
Li1 0.000 0.000 0.000 x1
P1 0.198 0.500 0.659 x2
Au1 0.500 0.000 0.500 x1

[15]
## AlTc2Sb (PBE)

Data for a geometry-optimized AlTc2Sb structure.

The calculation puts the density of states at the Fermi level at 0.997 states/eV/atom. The energy relative to the elements, uncorrected is -0.07 eV/atom.

Unit cell a=6.304 b=6.304 c=6.304 alpha=90.00 beta=90.00 gamma=90.00
Space group Fm-3m (No. 225)
One atom of each set of equivalent atoms:
Al1 0.000 0.000 0.000 x4
Tc1 0.250 0.250 0.250 x8
Sb1 0.000 0.000 0.500 x4

[16]
## RbGeIr2 (PBE)

Data for a geometry-optimized RbGeIr2 structure.

The calculation puts the density of states at the Fermi level at 0.890 states/eV/atom. The formation enthalpy at 0 K comes out at -0.04 eV per atom.

Unit cell a=8.416 b=3.952 c=13.426 alpha=90.00 beta=95.17 gamma=90.00
Space group C2/m (No. 12)
One atom of each set of equivalent atoms:
Rb1 0.112 0.000 0.323 x4
Ge1 0.224 0.000 0.854 x4
Ir1 0.035 0.500 0.901 x4
Ir2 0.148 0.000 0.034 x4

[17]
## KTi4Cl7 (PBE)

Data for a geometry-optimized KTi4Cl7 structure.

The calculation puts the density of states at the Fermi level at 0.283 states/eV/atom. The energy relative to the elements, uncorrected is -1.23 eV/atom.

Unit cell a=4.967 b=18.903 c=5.232 alpha=90.00 beta=90.00 gamma=90.00
Space group Pmmn (No. 59, origin choice 2)
One atom of each set of equivalent atoms:
K1 0.250 0.250 0.181 x2
Ti1 0.250 0.003 0.653 x4
Ti2 0.250 0.608 0.313 x4
Cl1 0.250 0.017 0.178 x4
Cl2 0.250 0.134 0.676 x4
Cl3 0.250 0.627 0.790 x4
Cl4 0.250 0.750 0.279 x2

[18]
## InAsSe3 (PBE)

Data for a geometry-optimized InAsSe3 structure.

The calculation puts the density of states at the Fermi level at 1.379 states/eV/atom. The energy relative to the elements, uncorrected is 0.68 eV/atom.

Unit cell a=5.215 b=5.215 c=5.215 alpha=90.00 beta=90.00 gamma=90.00
Space group Pm-3m (No. 221)
One atom of each set of equivalent atoms:
In1 0.000 0.000 0.000 x1
As1 0.500 0.500 0.500 x1
Se1 0.000 0.000 0.500 x3

[19]
## K2RbSnPt (PBE)

Data for a geometry-optimized K2RbSnPt structure.

The calculation puts the density of states at the Fermi level at 0.975 states/eV/atom. The formation enthalpy at 0 K comes out at 0.71 eV per atom.

Unit cell a=6.249 b=6.249 c=5.483 alpha=90.00 beta=90.00 gamma=90.00
Space group P4/mmm (No. 123)
One atom of each set of equivalent atoms:
K1 0.000 0.500 0.000 x2
Rb1 0.000 0.000 0.000 x1
Sn1 0.500 0.500 0.500 x1
Pt1 0.000 0.000 0.500 x1

[20]
## La3PrSc (PBE)

Data for a geometry-optimized La3PrSc structure.

The calculation puts the density of states at the Fermi level at 1.347 states/eV/atom. The formation enthalpy at 0 K comes out at 0.13 eV per atom.

Unit cell a=9.959 b=14.959 c=9.135 alpha=90.00 beta=90.33 gamma=90.00
Space group C2/c (No. 15)
One atom of each set of equivalent atoms:
La1 0.071 0.145 0.092 x8
La2 0.071 0.353 0.909 x8
La3 0.249 0.287 0.315 x8
Pr1 0.249 0.460 0.568 x8
Sc1 0.000 0.069 0.750 x4
Sc2 0.000 0.433 0.250 x4